# Zn2Cr2Sb

Zn2Cr2Sb after structural relaxation (PBE, the Alexandria database).

a b c (Å): 6.405 6.405 3.935
angles (deg): 90.00 90.00 90.00
Space group P4/mbm (No. 127)
Unique sites:
Zn1 0.164 0.336 0.000 x4
Cr1 0.117 0.617 0.500 x4
Sb1 0.000 0.000 0.500 x2

Summary:
The value obtained for the total magnetic moment is 0.20 μB per atom. The value obtained for the density of states at the Fermi level is 0.524 states/eV per atom. The total energy is -4.86 eV/atom. The value obtained for the calculated volume is 161 Å³ per cell.

# NaCa2HoS4

NaCa2HoS4 after structural relaxation (PBE, the Alexandria database).

a b c (Å): 6.884 4.013 6.932
angles (deg): 90.00 108.57 90.00
Space group P2/m (No. 10)
Unique sites:
Na1 0.000 0.000 0.000 x1
Ca1 0.500 0.000 0.500 x1
Ca2 0.500 0.500 0.000 x1
Ho1 0.000 0.500 0.500 x1
S1 0.240 0.000 0.739 x2
S2 0.250 0.500 0.263 x2

Summary:
The value obtained for the total magnetic moment is 0.00 μB per atom. The value obtained for the density of states at the Fermi level is 0.000 states/eV per atom. The total energy is -5.26 eV/atom. The value obtained for the calculated volume is 182 Å³ per cell.

# RbScCu2Ir

RbScCu2Ir after structural relaxation (PBE, the Alexandria database).

a b c (Å): 5.261 5.261 4.810
angles (deg): 90.00 90.00 90.00
Space group P4/mmm (No. 123)
Unique sites:
Rb1 0.000 0.000 0.000 x1
Sc1 0.500 0.500 0.500 x1
Cu1 0.000 0.500 0.500 x2
Ir1 0.500 0.500 0.000 x1

Summary:
Its polymorph energy (0 for the lowest one) is 0.0 meV per atom. The value obtained for the total magnetic moment is 0.00 μB per atom. The value obtained for the density of states at the Fermi level is 0.782 states/eV per atom. The total energy is -4.09 eV/atom. The value obtained for the calculated volume is 133 Å³ per cell.

# LiYTc3

LiYTc3 after structural relaxation (PBE, the Alexandria database).

a b c (Å): 4.353 4.353 4.353
angles (deg): 90.00 90.00 90.00
Space group Pm-3m (No. 221)
Unique sites:
Li1 0.000 0.000 0.000 x1
Y1 0.500 0.500 0.500 x1
Tc1 0.000 0.000 0.500 x3

Summary:
Its polymorph energy (0 for the lowest one) is 0.0 meV per atom. The value obtained for the total magnetic moment is 0.00 μB per atom. The value obtained for the density of states at the Fermi level is 1.446 states/eV per atom. The total energy is -6.94 eV/atom. The value obtained for the calculated volume is 82 Å³ per cell.

Q: Which of these has the highest calculated volume?
A: NaCa2HoS4

Q: The highest calculated volume belongs to which entry?
A: NaCa2HoS4